No. 1
The following is a DFT calculation (GGA-PBE) of a relaxed structure of Tl2Sn2Sb.

Geometry as CIF:
```
data_Tl2Sn2Sb
_chemical_formula_sum 'Tl4 Sn4 Sb2'
_cell_length_a 4.1814
_cell_length_b 4.1814
_cell_length_c 17.9740
_cell_angle_alpha 90.00
_cell_angle_beta 90.00
_cell_angle_gamma 90.00
_symmetry_space_group_name_H-M 'I 4/m m m'
_symmetry_Int_Tables_number 139
_symmetry_space_group_name_Hall '-I 4 2'
loop_
_atom_site_label
_atom_site_fract_x
_atom_site_fract_y
_atom_site_fract_z
_atom_site_occupancy
Tl1 0.0000 0.0000 0.0932 1
Sn1 0.0000 0.5000 0.2500 1
Sb1 0.0000 0.0000 0.5000 1
```

Output
Final energy   -3.190 eV per atom
Formation energy without anion corrections   18 kJ per mole of atoms
Offset from the most stable computed form   0.0301 eV/atom


No. 2
The following is a DFT calculation (GGA-PBE) of a relaxed structure of TlSn2Sb2.

Geometry as CIF:
```
data_TlSn2Sb2
_chemical_formula_sum 'Tl4 Sn8 Sb8'
_cell_length_a 10.3817
_cell_length_b 11.1754
_cell_length_c 7.2027
_cell_angle_alpha 90.00
_cell_angle_beta 125.15
_cell_angle_gamma 90.00
_symmetry_space_group_name_H-M 'C 1 2/c 1'
_symmetry_Int_Tables_number 15
loop_
_symmetry_equiv_pos_as_xyz
'x,y,z'
'-x,-y,-z'
'-x,y,-z+1/2'
'x,-y,z+1/2'
'x+1/2,y+1/2,z'
'-x+1/2,-y+1/2,-z'
'-x+1/2,y+1/2,-z+1/2'
'x+1/2,-y+1/2,z+1/2'
loop_
_atom_site_label
_atom_site_fract_x
_atom_site_fract_y
_atom_site_fract_z
_atom_site_occupancy
Tl1 0.0000 0.1342 0.2500 1
Sn1 0.1838 0.3648 0.7521 1
Sb1 0.0000 0.1592 0.7500 1
Sb2 0.0000 0.4313 0.2500 1
```

Output
Final energy   -3.639 eV per atom
Formation energy without anion corrections   8 kJ per mole of atoms
Offset from the most stable computed form   0.1078 eV/atom


No. 3
The following is a DFT calculation (GGA-PBE) of a relaxed structure of TlSnSb2.

Geometry as CIF:
```
data_TlSnSb2
_chemical_formula_sum 'Tl1 Sn1 Sb2'
_cell_length_a 4.8376
_cell_length_b 4.8376
_cell_length_c 4.9394
_cell_angle_alpha 90.00
_cell_angle_beta 90.00
_cell_angle_gamma 90.00
_symmetry_space_group_name_H-M 'P 4/m m m'
_symmetry_Int_Tables_number 123
_symmetry_space_group_name_Hall '-P 4 2'
loop_
_atom_site_label
_atom_site_fract_x
_atom_site_fract_y
_atom_site_fract_z
_atom_site_occupancy
Tl1 0.0000 0.0000 0.0000 1
Sn1 0.5000 0.5000 0.0000 1
Sb1 0.0000 0.5000 0.5000 1
```

Output
Final energy   -3.529 eV per atom
Formation energy without anion corrections   12 kJ per mole of atoms
Offset from the most stable computed form   0.0810 eV/atom